BeInMoPt2: relaxed, PBE-GGA.

Unit cell a=4.2204 b=4.2204 c=4.4876 alpha=90.00 beta=90.00 gamma=90.00
With the nearest neighbours (Å) after each atom.
Atoms (fractional coordinates):
Be (0.0000, 0.0000, 0.0000)  4 Pt 2.11, 2 Mo 2.24
In (0.5000, 0.5000, 0.5000)  4 Mo 2.98, 8 Pt 3.08
Mo (0.0000, 0.0000, 0.5000)  2 Be 2.24
Pt (0.0000, 0.5000, 0.0000)  2 Be 2.11
Pt (0.5000, 0.0000, 0.0000)  2 Be 2.11

Results
- energy of formation (eV/atom) = 0.109
- magnetic moment (μB/f.u.) = 0.00
- energy (eV per atom) = -5.7668